A plane-wave DFT calculation with GGA-PBE was carried out for a geometry-optimized NaCeSnAu structure.

Lattice parameters (Å, degrees): 7.387 7.387 7.387 90.00 90.00 90.00
Space group F-43m (No. 216)
One atom of each set of equivalent atoms:
Na  0.000  0.000  0.000 [4 per cell]
Ce  0.000  0.000  0.500 [4 per cell]
Sn  0.250  0.250  0.250 [4 per cell]
Au  0.250  0.250  0.750 [4 per cell]

Calculated values
The calculation puts the size of the total moment at 0.150 μB per atom. The total energy comes out at -65.29 eV per cell.